# YScCr2O8

A geometry-optimized YScCr2O8 structure (PBE+U, Alexandria via LeMat-Bulk).

Properties
The crystal system is tetragonal. As for the uncorrected energy: -7.85 eV/atom. The calculation puts the total moment at 2.0 μB per cell. As for the mass density: 3.92 g cm⁻³. As for the density of states at the Fermi level: 1.4 states/eV/cell.

abc: 5.881 5.881 5.881
angles: 106.13 106.13 116.39
Positions (direct):
Y: 0.000 0.000 0.000
Sc: 0.250 0.750 0.500
Cr: 0.500 0.500 0.000
Cr: 0.750 0.250 0.500
O: 0.327 0.135 0.809
O: 0.327 0.518 0.191
O: 0.385 0.067 0.318
O: 0.482 0.673 0.809
O: 0.749 0.067 0.682
O: 0.865 0.673 0.191
O: 0.933 0.251 0.318
O: 0.933 0.615 0.682